(1)
Density functional theory data (PBEsol) for a relaxed structure of LaTaTl.

Geometry as POSCAR:
```
LaTaTl
1.0
-2.352 -0.302 -1.991
1.930 -1.191 -2.109
-1.128 -6.048 4.663
Tl La Ta
1 1 1
Cartesian
-0.860 -4.367 1.679
-0.018 -0.092 0.035
-0.671 -3.082 -1.152
```

- DFT formation energy: 292 meV per atom

(2)
Density functional theory data (PBEsol) for a relaxed structure of Li2ZnPb.

Geometry as POSCAR:
```
Li2ZnPb
1.0
-1.654 -2.735 -0.404
1.241 -1.376 4.228
-3.981 2.133 1.862
Li Pb Zn
2 1 1
Cartesian
-2.140 0.791 3.405
-0.258 0.138 0.121
-3.054 -0.174 0.840
-0.932 -1.667 2.251
```

- DFT formation energy: -184 meV per atom

(3)
Density functional theory data (PBEsol) for a relaxed structure of CdHg3S.

Geometry as POSCAR:
```
CdHg3S
1.0
5.178 0.000 0.000
0.000 5.178 0.000
0.000 0.000 5.178
S Hg Cd
1 3 1
Cartesian
0.000 0.000 0.000
0.000 0.000 2.589
2.589 0.000 0.000
0.000 2.589 0.000
2.589 2.589 2.589
```

- Uncorrected formation energy: 0.338 eV per atom